# TiAl2F PBE relaxed
data_TiAl2F
_chemical_formula_sum 'Ti1 Al2 F1'
_cell_length_a 4.529
_cell_length_b 4.529
_cell_length_c 4.529
_cell_angle_alpha 60.00
_cell_angle_beta 60.00
_cell_angle_gamma 60.00
_symmetry_space_group_name_H-M 'P 1'
_symmetry_Int_Tables_number 1
loop_
_symmetry_equiv_pos_as_xyz
'x,y,z'
loop_
_atom_site_label
_atom_site_type_symbol
_atom_site_fract_x
_atom_site_fract_y
_atom_site_fract_z
Ti1 Ti 0.000 0.000 0.000
Al1 Al 0.250 0.250 0.250
Al2 Al 0.750 0.750 0.750
F1 F 0.500 0.500 0.500
# **Fermi-level density of states**: 0.65 states/eV per atom
# **Formation energy from raw total energies**: -175 meV per atom

---

# Rb4Ag2Au PBE relaxed
data_Rb4Ag2Au
_chemical_formula_sum 'Rb4 Ag2 Au1'
_cell_length_a 9.640
_cell_length_b 9.640
_cell_length_c 9.640
_cell_angle_alpha 138.86
_cell_angle_beta 138.86
_cell_angle_gamma 59.59
_symmetry_space_group_name_H-M 'P 1'
_symmetry_Int_Tables_number 1
loop_
_symmetry_equiv_pos_as_xyz
'x,y,z'
loop_
_atom_site_label
_atom_site_type_symbol
_atom_site_fract_x
_atom_site_fract_y
_atom_site_fract_z
Rb1 Rb 0.000 0.500 0.500
Rb2 Rb 0.203 0.203 0.000
Rb3 Rb 0.500 0.000 0.500
Rb4 Rb 0.797 0.797 0.000
Ag1 Ag 0.414 0.414 0.000
Ag2 Ag 0.586 0.586 0.000
Au1 Au 0.000 0.000 0.000
# **Formation energy from the elements**: 27.7 meV/atom
# **Fermi-level density of states**: 0.67 states/eV per atom

---

# ReRh2Se PBE relaxed
data_ReRh2Se
_chemical_formula_sum 'Re1 Rh2 Se1'
_cell_length_a 4.821
_cell_length_b 4.821
_cell_length_c 4.821
_cell_angle_alpha 132.36
_cell_angle_beta 132.36
_cell_angle_gamma 69.66
_symmetry_space_group_name_H-M 'P 1'
_symmetry_Int_Tables_number 1
loop_
_symmetry_equiv_pos_as_xyz
'x,y,z'
loop_
_atom_site_label
_atom_site_type_symbol
_atom_site_fract_x
_atom_site_fract_y
_atom_site_fract_z
Re1 Re 0.000 0.000 0.000
Rh1 Rh 0.250 0.750 0.500
Rh2 Rh 0.750 0.250 0.500
Se1 Se 0.500 0.500 0.000
# **Fermi-level density of states**: 0.98 states/eV per atom
# **Formation energy from raw total energies**: 410 meV per atom

---

# CuTeN PBE relaxed
data_CuTeN
_chemical_formula_sum 'Cu2 Te2 N2'
_cell_length_a 5.451
_cell_length_b 5.451
_cell_length_c 4.921
_cell_angle_alpha 106.83
_cell_angle_beta 106.83
_cell_angle_gamma 48.86
_symmetry_space_group_name_H-M 'P 1'
_symmetry_Int_Tables_number 1
loop_
_symmetry_equiv_pos_as_xyz
'x,y,z'
loop_
_atom_site_label
_atom_site_type_symbol
_atom_site_fract_x
_atom_site_fract_y
_atom_site_fract_z
Cu1 Cu 0.000 0.000 0.000
Cu2 Cu 0.671 0.329 0.500
Te1 Te 0.214 0.399 0.780
Te2 Te 0.601 0.786 0.220
N1 N 0.588 0.147 0.128
N2 N 0.853 0.412 0.872
# **Energy relative to the lowest polymorph listed for this composition**: 0.00 kcal/mol of atoms
# **Formation energy from raw total energies**: 491 meV per atom